Entry 1:
{
  "formula": "CuSi2Ir2",
  "functional": "PBE-GGA",
  "state": "optimized geometry",
  "relative_energy_ev_per_fu": 0.10,
  "raw_formation_energy_ev_per_fu": -1.926,
  "lattice": [[3.627, 0.000, 0.000], [0.000, 3.627, 0.000], [1.813, 1.813, 5.692]],
  "species": ["Si", "Si", "Ir", "Ir", "Cu"],
  "fractional_positions": [[0.750, 0.250, 0.500], [0.250, 0.750, 0.500], [0.384, 0.384, 0.231], [0.616, 0.616, 0.769], [0.000, 0.000, 0.000]]
}

---

Entry 2:
{
  "formula": "CuSiIr2",
  "functional": "PBE-GGA",
  "state": "optimized geometry",
  "raw_formation_energy_ev_per_fu": -0.672,
  "lattice": [[5.089, 0.003, 0.006], [2.260, 4.560, -0.006], [-3.041, -3.303, 2.398]],
  "species": ["Cu", "Ir", "Ir", "Si"],
  "fractional_positions": [[0.750, 0.250, 0.500], [0.029, 0.029, 0.000], [0.471, 0.471, 0.000], [0.250, 0.750, 0.500]]
}

---

Entry 3:
{
  "formula": "CuSiIr2",
  "functional": "PBE-GGA",
  "state": "optimized geometry",
  "raw_formation_energy_ev_per_fu": -0.074,
  "lattice": [[-3.374, 1.907, 2.691], [0.536, -1.048, 4.569], [2.890, 1.720, -3.309]],
  "species": ["Cu", "Ir", "Ir", "Si"],
  "fractional_positions": [[0.750, 0.250, 0.500], [0.000, 0.000, 0.000], [0.250, 0.750, 0.500], [0.500, 0.500, 0.000]]
}

---

Entry 4:
{
  "formula": "CuSiIr2",
  "functional": "PBE-GGA",
  "state": "optimized geometry",
  "raw_formation_energy_ev_per_fu": -0.547,
  "lattice": [[3.891, 0.000, 0.000], [0.000, 2.801, 0.005], [0.000, 1.390, 5.075]],
  "species": ["Cu", "Ir", "Ir", "Si"],
  "fractional_positions": [[0.500, 0.699, 0.726], [0.000, 0.070, 0.985], [0.500, 0.432, 0.263], [0.000, 0.299, 0.527]]
}

---

Entry 5:
{
  "formula": "Cu3SiIr",
  "functional": "PBE-GGA",
  "state": "optimized geometry",
  "relative_energy_ev_per_fu": 2.01,
  "raw_formation_energy_ev_per_fu": 6.307,
  "lattice": [[-4.195, 1.419, 1.349], [-1.789, -1.485, -4.003], [-0.795, -4.148, 1.895]],
  "species": ["Si", "Ir", "Cu", "Cu", "Cu"],
  "fractional_positions": [[0.500, 0.500, 0.500], [0.000, 0.000, 0.000], [0.000, 0.500, 0.000], [0.000, 0.000, 0.500], [0.500, 0.000, 0.000]]
}

---

Entry 6:
{
  "formula": "CuSiIr2",
  "functional": "PBE-GGA",
  "state": "optimized geometry",
  "raw_formation_energy_ev_per_fu": -1.216,
  "lattice": [[2.919, 0.000, 0.000], [0.000, 2.919, 0.000], [0.000, 0.000, 6.239]],
  "species": ["Si", "Ir", "Ir", "Cu"],
  "fractional_positions": [[0.500, 0.500, 0.250], [0.000, 0.000, 0.023], [0.000, 0.000, 0.477], [0.500, 0.500, 0.750]]
}

---

Entry 7:
{
  "formula": "CuSi2Ir",
  "functional": "PBE-GGA",
  "state": "optimized geometry",
  "relative_energy_ev_per_fu": 0.80,
  "raw_formation_energy_ev_per_fu": -0.133,
  "lattice": [[-0.287, 1.601, 3.768], [1.141, -2.485, 1.142], [4.075, 2.304, -0.669]],
  "species": ["Cu", "Ir", "Si", "Si"],
  "fractional_positions": [[0.500, 0.250, 0.250], [0.500, 0.750, 0.750], [0.000, 0.900, 0.023], [0.000, 0.600, 0.477]]
}

---

Entry 8:
{
  "formula": "CuSi2Ir",
  "functional": "PBE-GGA",
  "state": "optimized geometry",
  "relative_energy_ev_per_fu": 0.56,
  "raw_formation_energy_ev_per_fu": -0.369,
  "lattice": [[-3.918, -0.681, 1.399], [-2.058, 3.042, 2.068], [-3.258, 1.956, -1.823]],
  "species": ["Si", "Si", "Ir", "Cu"],
  "fractional_positions": [[0.250, 0.250, 0.250], [0.750, 0.750, 0.750], [0.500, 0.500, 0.500], [0.000, 0.000, 0.000]]
}

---

Entry 9:
{
  "formula": "CuSi2Ir",
  "functional": "PBE-GGA",
  "state": "optimized geometry",
  "relative_energy_ev_per_fu": 0.83,
  "raw_formation_energy_ev_per_fu": -0.102,
  "lattice": [[4.272, 0.523, 0.000], [-0.520, 4.273, 0.000], [0.000, 0.000, 2.875]],
  "species": ["Cu", "Ir", "Si", "Si"],
  "fractional_positions": [[0.500, 0.000, 0.500], [0.000, 0.500, 0.500], [0.000, 0.000, 0.000], [0.500, 0.500, 0.000]]
}

---

Entry 10:
{
  "formula": "CuSi2Ir",
  "functional": "PBE-GGA",
  "state": "optimized geometry",
  "relative_energy_ev_per_fu": 1.13,
  "raw_formation_energy_ev_per_fu": 0.203,
  "lattice": [[2.812, 0.000, 0.000], [0.000, 2.812, 0.000], [0.000, 0.000, 6.966]],
  "species": ["Cu", "Ir", "Si", "Si"],
  "fractional_positions": [[0.000, 0.000, 0.496], [0.500, 0.500, 0.769], [0.000, 0.000, 0.978], [0.500, 0.500, 0.257]]
}

---

Entry 11:
{
  "formula": "CuSiIr2",
  "functional": "PBE-GGA",
  "state": "optimized geometry",
  "raw_formation_energy_ev_per_fu": 0.615,
  "lattice": [[4.279, 0.000, 0.000], [2.139, 3.705, 0.000], [2.139, 1.235, 3.493]],
  "species": ["Cu", "Ir", "Ir", "Si"],
  "fractional_positions": [[0.500, 0.500, 0.500], [0.000, 0.000, 0.000], [0.250, 0.250, 0.250], [0.750, 0.750, 0.750]]
}

---

Entry 12:
{
  "formula": "CuSiIr4",
  "functional": "PBE-GGA",
  "state": "optimized geometry",
  "raw_formation_energy_ev_per_fu": 3.934,
  "lattice": [[-3.056, -3.749, 1.785], [-4.985, -0.106, -1.312], [-1.746, -3.646, -3.200]],
  "species": ["Cu", "Si", "Ir", "Ir", "Ir", "Ir"],
  "fractional_positions": [[0.000, 0.000, 0.000], [0.750, 0.750, 0.750], [0.875, 0.375, 0.375], [0.375, 0.375, 0.875], [0.375, 0.875, 0.375], [0.375, 0.375, 0.375]]
}

---

Entry 13:
{
  "formula": "CuSi2Ir",
  "functional": "PBE-GGA",
  "state": "optimized geometry",
  "relative_energy_ev_per_fu": 1.22,
  "raw_formation_energy_ev_per_fu": 0.290,
  "lattice": [[2.859, 0.000, 0.000], [0.000, 4.756, 0.000], [0.000, 0.000, 4.045]],
  "species": ["Cu", "Ir", "Si", "Si"],
  "fractional_positions": [[0.500, 0.000, 0.500], [0.000, 0.500, 0.500], [0.000, 0.000, 0.000], [0.500, 0.500, 0.000]]
}

---

Entry 14:
{
  "formula": "CuSi2Ir",
  "functional": "PBE-GGA",
  "state": "optimized geometry",
  "relative_energy_ev_per_fu": 0.30,
  "raw_formation_energy_ev_per_fu": -0.630,
  "lattice": [[4.625, 0.004, -0.008], [3.746, 2.713, -0.008], [0.375, 0.122, 4.252]],
  "species": ["Cu", "Ir", "Si", "Si"],
  "fractional_positions": [[0.503, 0.503, 0.538], [0.257, 0.257, 0.214], [0.991, 0.991, 0.029], [0.750, 0.750, 0.719]]
}

---

Entry 15:
{
  "formula": "SrCuSi2Ir",
  "functional": "PBE-GGA",
  "state": "optimized geometry",
  "raw_formation_energy_ev_per_fu": -2.702,
  "lattice": [[-3.653, -1.653, 1.117], [0.357, -2.834, -3.026], [4.083, -0.934, 4.218]],
  "species": ["Sr", "Cu", "Si", "Si", "Ir"],
  "fractional_positions": [[0.000, 0.000, 0.000], [0.250, 0.750, 0.500], [0.629, 0.629, 0.258], [0.371, 0.371, 0.742], [0.750, 0.250, 0.500]]
}

---

Entry 16:
{
  "formula": "CuSiTcIr",
  "functional": "PBE-GGA",
  "state": "optimized geometry",
  "raw_formation_energy_ev_per_fu": -0.813,
  "lattice": [[-3.197, -2.710, -0.263], [0.752, -4.130, -0.096], [-1.001, -2.393, 3.302]],
  "species": ["Si", "Ir", "Tc", "Cu"],
  "fractional_positions": [[0.250, 0.250, 0.250], [0.000, 0.000, 0.000], [0.500, 0.500, 0.500], [0.750, 0.750, 0.750]]
}

---

Entry 17:
{
  "formula": "Cu2SiTcIr",
  "functional": "PBE-GGA",
  "state": "optimized geometry",
  "raw_formation_energy_ev_per_fu": 7.769,
  "lattice": [[-4.236, 1.341, -1.306], [-1.828, -3.658, 2.175], [-0.402, 2.505, 3.875]],
  "species": ["Si", "Ir", "Tc", "Cu", "Cu"],
  "fractional_positions": [[0.500, 0.500, 0.500], [0.000, 0.500, 0.000], [0.000, 0.000, 0.000], [0.000, 0.000, 0.500], [0.500, 0.000, 0.000]]
}

---

Entry 18:
{
  "formula": "Th2CuSi4Ir3",
  "functional": "PBE-GGA",
  "state": "optimized geometry",
  "raw_formation_energy_ev_per_fu": -9.435,
  "lattice": [[4.203, 0.000, 0.000], [0.000, 4.203, 0.000], [0.000, 0.000, 9.907]],
  "species": ["Th", "Th", "Cu", "Si", "Si", "Si", "Si", "Ir", "Ir", "Ir"],
  "fractional_positions": [[0.500, 0.000, 0.249], [0.000, 0.500, 0.751], [0.500, 0.500, 0.500], [0.500, 0.500, 0.000], [0.000, 0.000, 0.000], [0.500, 0.000, 0.631], [0.000, 0.500, 0.369], [0.000, 0.000, 0.500], [0.500, 0.000, 0.875], [0.000, 0.500, 0.125]]
}

---

Entry 19:
{
  "formula": "TiCuSiIr",
  "functional": "PBE-GGA",
  "state": "optimized geometry",
  "raw_formation_energy_ev_per_fu": -2.190,
  "lattice": [[4.265, 0.000, 0.000], [2.132, 3.694, 0.000], [2.132, 1.231, 3.482]],
  "species": ["Si", "Ir", "Cu", "Ti"],
  "fractional_positions": [[0.750, 0.750, 0.750], [0.500, 0.500, 0.500], [0.000, 0.000, 0.000], [0.250, 0.250, 0.250]]
}

---

Entry 20:
{
  "formula": "Ti2CuSiIr",
  "functional": "PBE-GGA",
  "state": "optimized geometry",
  "raw_formation_energy_ev_per_fu": 2.208,
  "lattice": [[-0.628, 1.217, -4.651], [-4.592, -1.539, 0.218], [-1.307, 4.075, 1.243]],
  "species": ["Si", "Ir", "Cu", "Ti", "Ti"],
  "fractional_positions": [[0.000, 0.000, 0.500], [0.000, 0.000, 0.000], [0.500, 0.500, 0.500], [0.000, 0.500, 0.000], [0.500, 0.000, 0.000]]
}

---

Entry 21:
{
  "formula": "TmCuSi2Ir",
  "functional": "PBE-GGA",
  "state": "optimized geometry",
  "raw_formation_energy_ev_per_fu": -3.808,
  "lattice": [[4.020, 0.000, 0.000], [0.000, 4.020, 0.000], [-2.010, -2.010, 4.967]],
  "species": ["Tm", "Cu", "Si", "Si", "Ir"],
  "fractional_positions": [[0.000, 0.000, 0.000], [0.250, 0.750, 0.500], [0.618, 0.618, 0.236], [0.382, 0.382, 0.764], [0.750, 0.250, 0.500]]
}

---

Entry 22:
{
  "formula": "U2CuSi4Ir3",
  "functional": "PBE-GGA",
  "state": "optimized geometry",
  "raw_formation_energy_ev_per_fu": -6.442,
  "lattice": [[4.098, 0.000, 0.000], [0.000, 4.098, 0.000], [0.000, 0.000, 9.894]],
  "species": ["U", "U", "Cu", "Si", "Si", "Si", "Si", "Ir", "Ir", "Ir"],
  "fractional_positions": [[0.500, 0.000, 0.249], [0.000, 0.500, 0.751], [0.500, 0.500, 0.500], [0.500, 0.500, 0.000], [0.000, 0.000, 0.000], [0.500, 0.000, 0.632], [0.000, 0.500, 0.368], [0.000, 0.000, 0.500], [0.500, 0.000, 0.871], [0.000, 0.500, 0.129]]
}

---

Entry 23:
{
  "formula": "VCuSiIr",
  "functional": "PBE-GGA",
  "state": "optimized geometry",
  "raw_formation_energy_ev_per_fu": -1.118,
  "lattice": [[-3.565, -1.698, -1.410], [-1.487, -3.508, 1.750], [-3.465, 0.139, 2.358]],
  "species": ["Si", "Ir", "Cu", "V"],
  "fractional_positions": [[0.500, 0.500, 0.500], [0.750, 0.750, 0.750], [0.000, 0.000, 0.000], [0.250, 0.250, 0.250]]
}

---

Entry 24:
{
  "formula": "YCuSi2Ir",
  "functional": "PBE-GGA",
  "state": "optimized geometry",
  "raw_formation_energy_ev_per_fu": -3.898,
  "lattice": [[-1.785, 0.192, 3.625], [2.984, -2.223, 1.587], [1.954, 5.182, -1.570]],
  "species": ["Y", "Cu", "Si", "Si", "Ir"],
  "fractional_positions": [[0.000, 0.000, 0.000], [0.250, 0.750, 0.500], [0.619, 0.619, 0.238], [0.381, 0.381, 0.762], [0.750, 0.250, 0.500]]
}

---

Entry 25:
{
  "formula": "Y2CuSi4Ir3",
  "functional": "PBE-GGA",
  "state": "optimized geometry",
  "raw_formation_energy_ev_per_fu": -9.060,
  "lattice": [[4.127, 0.000, 0.000], [0.000, 4.127, 0.000], [0.000, 0.000, 9.884]],
  "species": ["Y", "Y", "Cu", "Si", "Si", "Si", "Si", "Ir", "Ir", "Ir"],
  "fractional_positions": [[0.500, 0.000, 0.246], [0.000, 0.500, 0.754], [0.500, 0.500, 0.500], [0.500, 0.500, 0.000], [0.000, 0.000, 0.000], [0.500, 0.000, 0.632], [0.000, 0.500, 0.368], [0.000, 0.000, 0.500], [0.500, 0.000, 0.872], [0.000, 0.500, 0.128]]
}

---

Entry 26:
{
  "formula": "Sm2Cu5Ir5",
  "functional": "PBE-GGA",
  "state": "optimized geometry",
  "e_form_ev_per_atom": -0.302,
  "lattice": [[4.105, 0.000, 0.000], [0.000, 5.337, 0.000], [0.000, 0.000, 8.992]],
  "species": ["Sm", "Sm", "Cu", "Cu", "Cu", "Cu", "Cu", "Ir", "Ir", "Ir", "Ir", "Ir"],
  "fractional_positions": [[0.000, 0.500, 0.000], [0.000, 0.000, 0.500], [0.000, 0.500, 0.332], [0.000, 0.000, 0.835], [0.000, 0.000, 0.165], [0.000, 0.500, 0.668], [0.500, 0.000, 0.000], [0.500, 0.500, 0.500], [0.500, 0.754, 0.248], [0.500, 0.246, 0.752], [0.500, 0.246, 0.248], [0.500, 0.754, 0.752]]
}

---

Entry 27:
{
  "formula": "Sm2CuIr2",
  "functional": "PBE-GGA",
  "state": "optimized geometry",
  "relative_energy_ev_per_fu": 0.00,
  "e_form_ev_per_atom": -0.591,
  "lattice": [[3.913, 0.004, 1.665], [1.371, 4.883, 2.197], [-0.035, 0.372, 5.514]],
  "species": ["Sm", "Sm", "Cu", "Ir", "Ir"],
  "fractional_positions": [[0.297, 0.203, 0.703], [0.703, 0.797, 0.297], [0.500, 0.500, 0.000], [0.000, 0.234, 0.266], [0.000, 0.766, 0.734]]
}

---

Entry 28:
{
  "formula": "SmCuIr",
  "functional": "PBE-GGA",
  "state": "optimized geometry",
  "relative_energy_ev_per_fu": 0.00,
  "e_form_ev_per_atom": -0.505,
  "lattice": [[4.416, 0.000, 2.479], [1.539, 4.509, 2.431], [-0.099, 0.031, 5.347]],
  "species": ["Sm", "Sm", "Cu", "Cu", "Ir", "Ir"],
  "fractional_positions": [[0.874, 0.376, 0.376], [0.126, 0.624, 0.624], [0.000, 0.000, 0.000], [0.500, 0.000, 0.000], [0.500, 0.500, 0.000], [0.500, 0.000, 0.500]]
}

---

| no. | electronic total energy (eV per atom) | calculated volume (Å³/f.u.) |
| --- | --- | --- |
| 1 | -6.92 | 74.9 |
| 2 | -6.98 | 55.6 |
| 3 | -6.83 | 54.0 |
| 4 | -6.95 | 55.3 |
| 5 | -4.05 | 99.2 |
| 6 | -7.11 | 53.2 |
| 7 | -5.98 | 57.0 |
| 8 | -6.04 | 53.0 |
| 9 | -5.98 | 53.3 |
| 10 | -5.90 | 55.1 |
| 11 | -6.66 | 55.4 |
| 12 | -6.84 | 96.9 |
| 13 | -5.88 | 55.0 |
| 14 | -6.11 | 53.3 |
| 15 | -5.64 | 89.4 |
| 16 | -7.39 | 52.4 |
| 17 | -5.01 | 99.4 |
| 18 | -7.66 | 175.0 |
| 19 | -7.12 | 54.9 |
| 20 | -6.39 | 104.7 |
| 21 | -6.42 | 80.3 |
| 22 | -8.14 | 166.2 |
| 23 | -7.15 | 52.1 |
| 24 | -6.83 | 81.8 |
| 25 | -7.44 | 168.3 |
| 26 | -6.49 | 197.0 |
| 27 | -6.84 | 103.3 |
| 28 | -6.40 | 53.7 |